Record 1
Density functional theory data (PBE) for a geometry-optimized AcGeRuF structure.

- final energy (eV per atom) = -6.7770
- formation energy without anion corrections (eV per atom) = -1.809
- M_tot (μB per formula unit) = 0.00

a b c (Å): 4.3705 4.3705 8.2418
angles (deg): 90.00 90.00 90.00
Last column: nearest neighbours and their distance in Å.
Atoms (fractional coordinates):
Ac 0.2500 0.2500 0.1913  4 F 2.69
Ac 0.7500 0.7500 0.8087  4 F 2.69
Ge 0.2500 0.2500 0.6428  4 Ru 2.48
Ge 0.7500 0.7500 0.3572  4 Ru 2.48
Ru 0.2500 0.7500 0.5000  4 Ge 2.48
Ru 0.7500 0.2500 0.5000  4 Ge 2.48
F 0.2500 0.7500 0.0000  4 Ac 2.69
F 0.7500 0.2500 0.0000  4 Ac 2.69


Record 2
Density functional theory data (PBE) for a geometry-optimized Ca6PrMg2 structure.

- final energy (eV per atom) = -2.1022
- M_tot (μB per formula unit) = 0.00
- formation enthalpy at 0 K (meV per atom) = 117.6

a b c (Å): 5.2082 5.2082 12.6331
angles (deg): 90.00 90.00 90.00
Last column: nearest neighbours and their distance in Å.
Atoms (fractional coordinates):
Ca 0.0000 0.0000 0.0000  12 Ca 3.68-3.94
Ca 0.0000 0.5000 0.2345  2 Mg 3.29
Ca 0.0000 0.5000 0.7655  2 Mg 3.29
Ca 0.5000 0.0000 0.2345  2 Mg 3.29
Ca 0.5000 0.0000 0.7655  2 Mg 3.29
Ca 0.5000 0.5000 0.0000  12 Ca 3.68-3.94
Pr 0.0000 0.0000 0.5000  8 Mg 3.92, 8 Ca 4.25
Mg 0.5000 0.5000 0.3931  1 Mg 2.70
Mg 0.5000 0.5000 0.6069  1 Mg 2.70


Record 3
Density functional theory data (PBE) for a geometry-optimized CsTc3C structure.

- final energy (eV per atom) = -6.7859
- M_tot (μB per formula unit) = 2.53
- E above lowest polymorph (kcal/mol of atoms) = 0.00
- formation enthalpy at 0 K (meV per atom) = 1449.2

a b c (Å): 4.3141 4.3141 4.3141
angles (deg): 90.00 90.00 90.00
Last column: nearest neighbours and their distance in Å.
Atoms (fractional coordinates):
Cs 0.0000 0.0000 0.0000  12 Tc 3.05
Tc 0.0000 0.5000 0.5000  2 C 2.16
Tc 0.5000 0.0000 0.5000  2 C 2.16
Tc 0.5000 0.5000 0.0000  2 C 2.16
C 0.5000 0.5000 0.5000  6 Tc 2.16